Entry i
Here is crystalline LiCa3Tl at its relaxed geometry from Alexandria via LeMat-Bulk. Energies are from PBE-GGA.

Computed properties:
calculated volume: 32.83 Å³ per atom
Fermi-level density of states: 0.7112 states/eV per atom

CIF file:
```
data_LiCa3Tl
_space_group_name_H-M_alt 'P 1'
_space_group_IT_number 1
_space_group_name_Hall 'P 1'
_cell_length_a 9.088
_cell_length_b 6.901
_cell_length_c 10.468
_cell_angle_alpha 89.99
_cell_angle_beta 90.00
_cell_angle_gamma 90.00
loop_
_atom_site_label
_atom_site_type_symbol
_atom_site_fract_x
_atom_site_fract_y
_atom_site_fract_z
Li1 Li 0.249 0.057 0.375
Li2 Li 0.751 0.943 0.625
Li3 Li 0.749 0.943 0.125
Li4 Li 0.251 0.057 0.875
Ca1 Ca 0.951 0.731 0.374
Ca2 Ca 0.049 0.269 0.626
Ca3 Ca 0.451 0.269 0.126
Ca4 Ca 0.549 0.731 0.874
Ca5 Ca 0.549 0.731 0.376
Ca6 Ca 0.451 0.269 0.624
Ca7 Ca 0.049 0.269 0.124
Ca8 Ca 0.951 0.731 0.876
Ca9 Ca 0.249 0.744 0.625
Ca10 Ca 0.751 0.256 0.375
Ca11 Ca 0.749 0.256 0.875
Ca12 Ca 0.251 0.744 0.125
Tl1 Tl 0.749 0.544 0.125
Tl2 Tl 0.251 0.456 0.875
Tl3 Tl 0.249 0.456 0.375
Tl4 Tl 0.751 0.544 0.625
```



Entry ii
Here is crystalline LiCa3Tl at its relaxed geometry from Alexandria via LeMat-Bulk. Energies are from PBE-GGA.

Computed properties:
calculated volume: 31.55 Å³ per atom
Fermi-level density of states: 0.7403 states/eV per atom

CIF file:
```
data_LiCa3Tl
_space_group_name_H-M_alt 'P 1'
_space_group_IT_number 1
_space_group_name_Hall 'P 1'
_cell_length_a 5.483
_cell_length_b 5.491
_cell_length_c 10.831
_cell_angle_alpha 90.00
_cell_angle_beta 75.34
_cell_angle_gamma 90.00
loop_
_atom_site_label
_atom_site_type_symbol
_atom_site_fract_x
_atom_site_fract_y
_atom_site_fract_z
Li1 Li 0.482 0.750 0.684
Li2 Li 0.166 0.250 0.316
Ca1 Ca 0.756 0.250 0.136
Ca2 Ca 0.392 0.250 0.864
Ca3 Ca 0.575 0.250 0.499
Ca4 Ca 0.256 0.750 0.136
Ca5 Ca 0.892 0.750 0.864
Ca6 Ca 0.074 0.750 0.501
Tl1 Tl 0.667 0.750 0.315
Tl2 Tl 0.982 0.250 0.685
```



Entry iii
Here is crystalline LiCa3Tl at its relaxed geometry from Alexandria via LeMat-Bulk. Energies are from PBE-GGA.

Computed properties:
calculated volume: 44.22 Å³ per atom
Fermi-level density of states: 0.1433 states/eV per atom

CIF file:
```
data_LiCa3Tl
_space_group_name_H-M_alt 'P 1'
_space_group_IT_number 1
_space_group_name_Hall 'P 1'
_cell_length_a 6.047
_cell_length_b 6.047
_cell_length_c 6.047
_cell_angle_alpha 90.00
_cell_angle_beta 90.00
_cell_angle_gamma 90.00
loop_
_atom_site_label
_atom_site_type_symbol
_atom_site_fract_x
_atom_site_fract_y
_atom_site_fract_z
Tl1 Tl 0.000 0.000 0.000
Ca1 Ca 0.000 0.500 0.000
Ca2 Ca 0.000 0.000 0.500
Ca3 Ca 0.500 0.000 0.000
Li1 Li 0.500 0.500 0.500
```



entry ii wins, 30 meV/atom ahead of the next structure.



Entry i
Here is crystalline LiCa6Tl2 at its relaxed geometry from Alexandria via LeMat-Bulk. Energies are from PBE-GGA.

Computed properties:
calculated volume: 32.36 Å³ per atom
Fermi-level density of states: 0.6520 states/eV per atom

CIF file:
```
data_LiCa6Tl2
_space_group_name_H-M_alt 'P 1'
_space_group_IT_number 1
_space_group_name_Hall 'P 1'
_cell_length_a 5.465
_cell_length_b 10.319
_cell_length_c 10.328
_cell_angle_alpha 90.00
_cell_angle_beta 90.01
_cell_angle_gamma 90.00
loop_
_atom_site_label
_atom_site_type_symbol
_atom_site_fract_x
_atom_site_fract_y
_atom_site_fract_z
Li1 Li 0.500 0.500 0.000
Li2 Li 0.000 0.000 0.500
Ca1 Ca 0.000 0.028 0.189
Ca2 Ca 0.000 0.689 0.529
Ca3 Ca 0.000 0.623 0.878
Ca4 Ca 0.500 0.123 0.622
Ca5 Ca 0.500 0.189 0.971
Ca6 Ca 0.500 0.528 0.311
Ca7 Ca 0.000 0.972 0.811
Ca8 Ca 0.000 0.311 0.471
Ca9 Ca 0.000 0.377 0.122
Ca10 Ca 0.500 0.877 0.378
Ca11 Ca 0.500 0.811 0.029
Ca12 Ca 0.500 0.472 0.689
Tl1 Tl 0.000 0.298 0.796
Tl2 Tl 0.500 0.798 0.704
Tl3 Tl 0.500 0.202 0.296
Tl4 Tl 0.000 0.702 0.204
```



Entry ii
Here is crystalline LiCa6Tl2 at its relaxed geometry from Alexandria via LeMat-Bulk. Energies are from PBE-GGA.

Computed properties:
calculated volume: 32.05 Å³ per atom
Fermi-level density of states: 0.5036 states/eV per atom

CIF file:
```
data_LiCa6Tl2
_space_group_name_H-M_alt 'P 1'
_space_group_IT_number 1
_space_group_name_Hall 'P 1'
_cell_length_a 5.642
_cell_length_b 5.644
_cell_length_c 10.458
_cell_angle_alpha 89.97
_cell_angle_beta 90.00
_cell_angle_gamma 119.99
loop_
_atom_site_label
_atom_site_type_symbol
_atom_site_fract_x
_atom_site_fract_y
_atom_site_fract_z
Li1 Li 0.000 0.000 0.500
Ca1 Ca 0.333 0.667 0.954
Ca2 Ca 0.667 0.333 0.046
Ca3 Ca 0.000 0.999 0.198
Ca4 Ca 0.667 0.333 0.405
Ca5 Ca 0.000 0.001 0.802
Ca6 Ca 0.333 0.667 0.595
Tl1 Tl 0.667 0.334 0.727
Tl2 Tl 0.333 0.666 0.273
```



entry i wins, 5 meV/atom ahead of the next structure.



Entry i
Here is crystalline Li3Ca2Tl8 at its relaxed geometry from Alexandria via LeMat-Bulk. Energies are from PBE-GGA.

Computed properties:
calculated volume: 28.18 Å³ per atom
Fermi-level density of states: 0.6208 states/eV per atom

CIF file:
```
data_Li3Ca2Tl8
_space_group_name_H-M_alt 'P 1'
_space_group_IT_number 1
_space_group_name_Hall 'P 1'
_cell_length_a 6.196
_cell_length_b 7.685
_cell_length_c 8.717
_cell_angle_alpha 116.16
_cell_angle_beta 99.36
_cell_angle_gamma 90.00
loop_
_atom_site_label
_atom_site_type_symbol
_atom_site_fract_x
_atom_site_fract_y
_atom_site_fract_z
Li1 Li 0.500 0.000 0.000
Li2 Li 0.000 0.188 0.000
Li3 Li 0.000 0.812 0.000
Ca1 Ca 0.336 0.225 0.450
Ca2 Ca 0.664 0.775 0.550
Tl1 Tl 0.974 0.621 0.242
Tl2 Tl 0.026 0.379 0.758
Tl3 Tl 0.825 0.159 0.319
Tl4 Tl 0.175 0.841 0.681
Tl5 Tl 0.556 0.608 0.813
Tl6 Tl 0.556 0.206 0.813
Tl7 Tl 0.444 0.794 0.187
Tl8 Tl 0.444 0.392 0.187
```



Entry ii
Here is crystalline Li3Ca2Tl8 at its relaxed geometry from Alexandria via LeMat-Bulk. Energies are from PBE-GGA.

Computed properties:
calculated volume: 27.64 Å³ per atom
Fermi-level density of states: 0.4615 states/eV per atom

CIF file:
```
data_Li3Ca2Tl8
_space_group_name_H-M_alt 'P 1'
_space_group_IT_number 1
_space_group_name_Hall 'P 1'
_cell_length_a 5.070
_cell_length_b 8.669
_cell_length_c 8.669
_cell_angle_alpha 73.90
_cell_angle_beta 81.18
_cell_angle_gamma 81.18
loop_
_atom_site_label
_atom_site_type_symbol
_atom_site_fract_x
_atom_site_fract_y
_atom_site_fract_z
Li1 Li 0.500 0.000 0.000
Li2 Li 0.000 0.244 0.756
Li3 Li 0.000 0.756 0.244
Ca1 Ca 0.347 0.290 0.290
Ca2 Ca 0.653 0.710 0.710
Tl1 Tl 0.217 0.564 0.564
Tl2 Tl 0.783 0.436 0.436
Tl3 Tl 0.934 0.127 0.127
Tl4 Tl 0.066 0.873 0.873
Tl5 Tl 0.578 0.640 0.101
Tl6 Tl 0.578 0.101 0.640
Tl7 Tl 0.422 0.899 0.360
Tl8 Tl 0.422 0.360 0.899
```



entry ii wins, 31 meV/atom ahead of the next structure.



Entry i
Here is crystalline Li3CaTl at its relaxed geometry from Alexandria via LeMat-Bulk. Energies are from PBE-GGA.

Computed properties:
calculated volume: 25.13 Å³ per atom
Fermi-level density of states: 0.6432 states/eV per atom

CIF file:
```
data_Li3CaTl
_space_group_name_H-M_alt 'P 1'
_space_group_IT_number 1
_space_group_name_Hall 'P 1'
_cell_length_a 3.997
_cell_length_b 4.754
_cell_length_c 7.298
_cell_angle_alpha 71.29
_cell_angle_beta 74.05
_cell_angle_gamma 90.14
loop_
_atom_site_label
_atom_site_type_symbol
_atom_site_fract_x
_atom_site_fract_y
_atom_site_fract_z
Li1 Li 0.663 0.965 0.383
Li2 Li 0.131 0.434 0.442
Li3 Li 0.794 0.600 0.114
Ca1 Ca 0.413 0.217 0.879
Tl1 Tl 0.007 0.809 0.694
```



Entry ii
Here is crystalline Li3CaTl at its relaxed geometry from Alexandria via LeMat-Bulk. Energies are from PBE-GGA.

Computed properties:
calculated volume: 27.06 Å³ per atom
Fermi-level density of states: 0.3200 states/eV per atom

CIF file:
```
data_Li3CaTl
_space_group_name_H-M_alt 'P 1'
_space_group_IT_number 1
_space_group_name_Hall 'P 1'
_cell_length_a 5.133
_cell_length_b 5.133
_cell_length_c 5.133
_cell_angle_alpha 90.00
_cell_angle_beta 90.00
_cell_angle_gamma 90.00
loop_
_atom_site_label
_atom_site_type_symbol
_atom_site_fract_x
_atom_site_fract_y
_atom_site_fract_z
Tl1 Tl 0.000 0.000 0.000
Ca1 Ca 0.500 0.500 0.500
Li1 Li 0.000 0.500 0.000
Li2 Li 0.000 0.000 0.500
Li3 Li 0.500 0.000 0.000
```



entry i wins, 121 meV/atom ahead of the next structure.